Crystalline Sr2CuTc at its relaxed geometry, computed with PBE.

Values from the calculation:
The value obtained for the formation enthalpy at 0 K is 534 meV/atom. Its energy above the most stable polymorph in this dataset is 36 kJ/mol of formula units.

a b c (Å): 6.500 6.500 6.500
angles (deg): 146.63 134.10 57.93
Element x y z (fractional)
Cu 0.300 0.800 0.500
Sr 0.020 0.020 0.000
Sr 0.737 0.237 0.500
Tc 0.442 0.442 0.000



Crystalline Sr4CuTc at its relaxed geometry, computed with PBE.

Values from the calculation:
The value obtained for the formation enthalpy at 0 K is 1287 meV/atom.

a b c (Å): 6.876 6.876 6.876
angles (deg): 60.00 60.00 60.00
Element x y z (fractional)
Sr 0.873 0.376 0.376
Sr 0.376 0.376 0.873
Sr 0.376 0.873 0.376
Sr 0.376 0.376 0.376
Cu 0.000 0.000 0.000
Tc 0.750 0.750 0.750



Crystalline Sr2CuTc at its relaxed geometry, computed with PBE.

Values from the calculation:
The value obtained for the formation enthalpy at 0 K is 440 meV/atom. Its energy above the most stable polymorph in this dataset is 0 kJ/mol of formula units.

a b c (Å): 4.324 4.676 6.084
angles (deg): 67.39 90.00 90.00
Element x y z (fractional)
Cu 0.500 0.576 0.724
Sr 0.000 0.981 0.913
Sr 0.500 0.270 0.334
Tc 0.000 0.673 0.529



| no. | Fermi-level density of states (states/eV/cell) |
| --- | --- |
| 1 | 3.332 |
| 2 | 11.318 |
| 3 | 3.544 |